The following is a DFT calculation (GGA+U) of a relaxed structure of Sm2HfCoO6.

The structure in POSCAR format:
```
Sm2HfCoO6
1.0
5.521 0.000 0.000
0.000 5.801 0.000
-5.362 0.000 8.031
Sm Hf Co O
4 2 2 12
direct
0.226 0.063 0.247
0.226 0.437 0.747
0.774 0.563 0.253
0.774 0.937 0.753
0.500 0.000 0.000
0.500 0.500 0.500
0.000 0.000 0.500
0.000 0.500 0.000
0.140 0.195 0.942
0.140 0.305 0.442
0.242 0.705 0.934
0.242 0.795 0.434
0.375 0.048 0.755
0.375 0.452 0.255
0.625 0.548 0.745
0.625 0.952 0.245
0.758 0.205 0.566
0.758 0.295 0.066
0.860 0.695 0.558
0.860 0.805 0.058
```

Results
total magnetization = 3.018 μB/f.u.
E = -8.4241 eV per atom
D(E_F) = 0.000 states/eV per cell